[1]
First-principles (PBEsol) data for an optimized crystal structure of K2ZrBr, as listed in the Alexandria database.

a b c (Å): 7.3744 7.3744 6.3708
angles (deg): 115.59 115.59 27.40
With the nearest neighbours (Å) after each atom.
Positions (direct):
K  0.0000  0.0000  0.0000  2 K 3.49, 4 Br 3.65-3.67
K  0.1879  0.1879  0.6883  2 Br 3.37, 2 K 3.49
Zr  0.7971  0.7971  0.2976  2 Br 2.76
Br  0.4635  0.4635  0.4651  2 Zr 2.76

Output
- formation energy from raw total energies (eV per atom) = 0.067
- energy above the lowest structure with this stoichiometry (eV per atom) = 0.000
- DFT total energy (eV per atom) = -3.24
- N(E_F) (states/eV/f.u.) = 4.27

[2]
First-principles (PBEsol) data for an optimized crystal structure of NiRuO3, as listed in the Alexandria database.

a b c (Å): 3.7711 3.7711 3.7711
angles (deg): 90.00 90.00 90.00
With the nearest neighbours (Å) after each atom.
Positions (direct):
Ni  0.0000  0.0000  0.0000  12 O 2.67
Ru  0.5000  0.5000  0.5000  6 O 1.89
O  0.0000  0.5000  0.5000  2 Ru 1.89
O  0.5000  0.0000  0.5000  2 Ru 1.89
O  0.5000  0.5000  0.0000  2 Ru 1.89

Output
- formation energy from raw total energies (eV per atom) = -0.189
- DFT total energy (eV per atom) = -6.61
- N(E_F) (states/eV/f.u.) = 7.86

What did the first record say?
First-principles (PBEsol) data for an optimized crystal structure of K2ZrBr, as listed in the Alexandria database.

a b c (Å): 7.3744 7.3744 6.3708
angles (deg): 115.59 115.59 27.40
With the nearest neighbours (Å) after each atom.
Positions (direct):
K  0.0000  0.0000  0.0000  2 K 3.49, 4 Br 3.65-3.67
K  0.1879  0.1879  0.6883  2 Br 3.37, 2 K 3.49
Zr  0.7971  0.7971  0.2976  2 Br 2.76
Br  0.4635  0.4635  0.4651  2 Zr 2.76

Output
- formation energy from raw total energies (eV per atom) = 0.067
- energy above the lowest structure with this stoichiometry (eV per atom) = 0.000
- DFT total energy (eV per atom) = -3.24
- N(E_F) (states/eV/f.u.) = 4.27

Copy entry 2 word for word.
First-principles (PBEsol) data for an optimized crystal structure of NiRuO3, as listed in the Alexandria database.

a b c (Å): 3.7711 3.7711 3.7711
angles (deg): 90.00 90.00 90.00
With the nearest neighbours (Å) after each atom.
Positions (direct):
Ni  0.0000  0.0000  0.0000  12 O 2.67
Ru  0.5000  0.5000  0.5000  6 O 1.89
O  0.0000  0.5000  0.5000  2 Ru 1.89
O  0.5000  0.0000  0.5000  2 Ru 1.89
O  0.5000  0.5000  0.0000  2 Ru 1.89

Output
- formation energy from raw total energies (eV per atom) = -0.189
- DFT total energy (eV per atom) = -6.61
- N(E_F) (states/eV/f.u.) = 7.86

Among the records above, which one has the highest N(E_F)?
NiRuO3